1.
# CsCaHoBr6 | Alexandria | PBE | relaxed
data_CsCaHoBr6
_chemical_formula_sum 'Cs1 Ca1 Ho1 Br6'
_cell_length_a 7.4720
_cell_length_b 7.4720
_cell_length_c 8.0736
_cell_angle_alpha 90.00
_cell_angle_beta 90.00
_cell_angle_gamma 120.00
_space_group_name_H-M_alt 'P 3 1 2'
_space_group_IT_number 149
loop_
_space_group_symop_operation_xyz
'x,y,z'
'-y,x-y,z'
'-x+y,-x,z'
'-y,-x,-z'
'-x+y,y,-z'
'x,x-y,-z'
loop_
_atom_site_label
_atom_site_type_symbol
_atom_site_fract_x
_atom_site_fract_y
_atom_site_fract_z
Cs1 Cs 0.0000 0.0000 0.0000
Ca1 Ca 0.3333 0.6667 0.5000
Ho1 Ho 0.6667 0.3333 0.5000
Br1 Br 0.3819 0.0112 0.7030
# DOS(E_F): 0.00 states/eV/atom
# Formation energy from raw total energies: -1952 meV per atom
# E: -35.04 eV per formula unit

2.
# Eu2YPd | Alexandria | PBE | relaxed
data_Eu2YPd
_chemical_formula_sum 'Eu6 Y3 Pd3'
_cell_length_a 3.7525
_cell_length_b 3.7525
_cell_length_c 32.4458
_cell_angle_alpha 90.00
_cell_angle_beta 90.00
_cell_angle_gamma 120.00
_space_group_name_H-M_alt 'R -3 m'
_space_group_IT_number 166
_space_group_name_Hall '-R 3 2"'
loop_
_atom_site_label
_atom_site_type_symbol
_atom_site_fract_x
_atom_site_fract_y
_atom_site_fract_z
Eu1 Eu 0.0000 0.0000 0.1061
Y1 Y 0.0000 0.0000 0.0000
Pd1 Pd 0.0000 0.0000 0.5000
# Energy above the lowest structure with this stoichiometry: 213 meV per atom
# DOS(E_F): 3.42 states/eV/atom
# E: -32.41 eV per formula unit
# Calculated formation energy: -0.0507 eV per atom

- Look up the DOS(E_F) of the first one.
  0.00 states/eV/atom